Entry 1:
KAlTl2 | PBE-GGA | relaxed

Cell: 5.833 5.833 10.172 Å, 73.34 73.34 90.00°
Element x y z (fractional)
Tl1 0.470 0.125 0.250
Tl2 0.280 0.625 0.250
Tl3 0.375 0.530 0.750
Tl4 0.875 0.720 0.750
K1 0.000 0.000 0.000
K2 0.750 0.250 0.500
Al1 0.500 0.500 0.000
Al2 0.250 0.750 0.500

Calculated values
For the energy above the most stable polymorph in this dataset, the calculation gives 198 meV/atom. The formation energy is 0.23 eV/atom. The total energy comes out at -2.17 eV per atom. For the total magnetization, the calculation gives 0.00 μB/cell.

***

Entry 2:
Fe2TeIr | PBE-GGA | relaxed

Cell: 3.861 3.012 6.168 Å, 60.90 90.00 90.00°
Element x y z (fractional)
Fe1 0.000 0.973 0.026
Fe2 0.000 0.527 0.474
Ir1 0.500 0.250 0.250
Te1 0.500 0.750 0.750

Calculated values
The total energy comes out at -6.88 eV per atom. For the energy relative to the elements, uncorrected, the calculation gives 0.35 eV per atom. For the total magnetization, the calculation gives 6.01 μB/cell.

***

Entry 3:
Hg4PW | PBE-GGA | relaxed

Cell: 5.718 5.718 5.718 Å, 60.00 60.00 60.00°
Element x y z (fractional)
Hg1 0.875 0.375 0.375
Hg2 0.375 0.375 0.875
Hg3 0.375 0.875 0.375
Hg4 0.375 0.375 0.375
P1 0.750 0.750 0.750
W1 0.000 0.000 0.000

Calculated values
The formation energy is 1.21 eV/atom. The total energy comes out at -2.05 eV per atom. For the total magnetization, the calculation gives 2.77 μB/cell.

***

Entry 4:
SrMgRe2 | PBE-GGA | relaxed

Cell: 2.757 2.757 9.944 Å, 90.00 90.00 102.74°
Element x y z (fractional)
Mg1 0.500 0.500 0.750
Re1 0.000 0.000 0.976
Re2 0.000 0.000 0.524
Sr1 0.500 0.500 0.250

Calculated values
The formation energy is 0.83 eV/atom. The total energy comes out at -6.21 eV per atom. For the total magnetization, the calculation gives 0.00 μB/cell.